(1)
Entry from Alexandria: an optimized crystal structure of La3Cu (GGA-PBEsol).

Output
- D(E_F): 5.6 states/eV/cell
- Calculated density: 7.135 g cm⁻³
- Crystal system: tetragonal
- Calculated volume: 112 Å³ per cell
- Calculated formation energy: -0.03 eV/atom
- Uncorrected energy: -5.13 eV/atom

Cell and atoms, written as POSCAR:
```
La3Cu
1.0
3.6124 0.0000 0.0000
0.0000 3.6124 0.0000
0.0000 0.0000 8.5658
Cu La
1 3
Direct
0.0000 0.0000 0.0000 Cu
0.5000 0.5000 0.2035 La
0.5000 0.5000 0.7965 La
0.0000 0.0000 0.5000 La
```

=====

(2)
Entry from Alexandria: an optimized crystal structure of BaSr2F (GGA-PBEsol).

Output
- D(E_F): 5.6 states/eV/cell
- Calculated density: 3.000 g cm⁻³
- Crystal system: cubic
- Calculated volume: 184 Å³ per cell
- Excess energy over the best structure of this formula in the dataset: 1.140 eV/atom
- Uncorrected formation energy: -288 meV per atom
- Uncorrected energy: -2.23 eV/atom

Cell and atoms, written as POSCAR:
```
BaSr2F
1.0
-0.7127 0.7914 6.2894
-1.0895 -5.0466 3.7464
4.5287 -2.0366 4.0043
Sr Ba F
2 1 1
Direct
0.7500 0.7500 0.7500 Sr
0.2500 0.2500 0.2500 Sr
0.5000 0.5000 0.5000 Ba
0.0000 0.0000 0.0000 F
```

=====

(3)
Entry from Alexandria: an optimized crystal structure of YAl3 (GGA-PBEsol).

Output
- D(E_F): 3.8 states/eV/cell
- Calculated density: 3.659 g cm⁻³
- Crystal system: orthorhombic
- Calculated volume: 154 Å³ per cell
- Calculated formation energy: -0.40 eV/atom
- Uncorrected energy: -5.18 eV/atom

Cell and atoms, written as POSCAR:
```
YAl3
1.0
-1.2243 1.1386 4.2133
2.0913 -5.0319 1.9675
5.2403 2.5083 0.8449
Al Y
6 2
Direct
0.5000 0.1371 0.7392 Al
0.5000 0.7418 0.0000 Al
0.0000 0.2582 0.5000 Al
0.0000 0.8629 0.2392 Al
0.5000 0.1371 0.2608 Al
0.0000 0.8629 0.7608 Al
0.5000 0.6153 0.5000 Y
0.0000 0.3847 0.0000 Y
```

=====

(4)
Entry from Alexandria: an optimized crystal structure of Ag5Sb (GGA-PBEsol).

Output
- D(E_F): 1.6 states/eV/cell
- Calculated density: 10.024 g cm⁻³
- Crystal system: tetragonal
- Calculated volume: 110 Å³ per cell
- Excess energy over the best structure of this formula in the dataset: 0.055 eV/atom
- Uncorrected formation energy: 68 meV per atom
- Uncorrected energy: -3.45 eV/atom

Cell and atoms, written as POSCAR:
```
Ag5Sb
1.0
-2.4184 -1.7866 -0.5793
1.2858 -0.8864 -2.6339
5.2225 -8.8630 5.5324
Ag Sb
5 1
Direct
0.0000 0.0000 0.1902 Ag
0.5000 0.5000 0.6532 Ag
0.5000 0.5000 0.3468 Ag
0.0000 0.0000 0.5000 Ag
0.0000 0.0000 0.8098 Ag
0.5000 0.5000 0.0000 Sb
```